Hf2BeOs, optimized geometry, DFT PBE; energy of formation = 641 meV per atom; symmetry = R-3m; total magnetic moment = 0.00 μB per formula unit
1.0
1.460 0.843 9.991
-1.460 0.843 9.991
0.000 -1.686 9.991
Hf Be Os
2 1 1
Direct
0.091 0.091 0.091
0.909 0.909 0.909
0.000 0.000 0.000
0.500 0.500 0.500

HfBe2Os, optimized geometry, DFT PBE; energy of formation = -239 meV per atom; energy relative to the lowest polymorph listed for this composition = 0.000 eV per atom; symmetry = Fm-3m; total magnetic moment = 0.00 μB per formula unit
1.0
0.000 2.939 2.939
2.939 0.000 2.939
2.939 2.939 0.000
Hf Be Os
1 2 1
Direct
0.000 0.000 0.000
0.250 0.250 0.250
0.750 0.750 0.750
0.500 0.500 0.500

Hf2BeOs, optimized geometry, DFT PBE; energy of formation = 400 meV per atom; symmetry = I-42d; total magnetic moment = 0.00 μB per formula unit
1.0
-3.624 3.624 2.754
3.624 -3.624 2.754
3.624 3.624 -2.754
Hf Be Os
4 2 2
Direct
0.111 0.125 0.486
0.375 0.889 0.014
0.639 0.625 0.514
0.875 0.361 0.986
0.250 0.750 0.500
0.500 0.500 0.000
0.000 0.000 0.000
0.750 0.250 0.500

HfBe3Os, optimized geometry, DFT PBE; energy of formation = 2312 meV per atom; energy relative to the lowest polymorph listed for this composition = 2.081 eV per atom; symmetry = Pm-3m; total magnetic moment = 2.20 μB per formula unit
1.0
4.327 0.000 0.000
0.000 4.327 0.000
0.000 0.000 4.327
Hf Be Os
1 3 1
Direct
0.000 0.000 0.000
0.000 0.000 0.500
0.000 0.500 0.000
0.500 0.000 0.000
0.500 0.500 0.500

HfBeOs, optimized geometry, DFT PBE; energy of formation = -536 meV per atom; energy relative to the lowest polymorph listed for this composition = 0.000 eV per atom; symmetry = Pmma; total magnetic moment = 0.00 μB per formula unit
1.0
11.732 0.000 0.000
0.000 3.265 0.000
0.000 0.000 6.758
Hf Be Os
6 6 6
Direct
0.052 0.000 0.235
0.250 0.000 0.654
0.448 0.000 0.235
0.552 0.000 0.765
0.750 0.000 0.346
0.948 0.000 0.765
0.087 0.500 0.553
0.250 0.000 0.048
0.413 0.500 0.553
0.587 0.500 0.447
0.750 0.000 0.952
0.913 0.500 0.447
0.124 0.500 0.915
0.250 0.500 0.304
0.376 0.500 0.915
0.624 0.500 0.085
0.750 0.500 0.696
0.876 0.500 0.085

HfBe4Os, optimized geometry, DFT PBE; energy of formation = -493 meV per atom; symmetry = F-43m; total magnetic moment = 0.00 μB per formula unit
1.0
0.000 3.204 3.204
3.204 0.000 3.204
3.204 3.204 0.000
Hf Be Os
1 4 1
Direct
0.000 0.000 0.000
0.376 0.376 0.376
0.376 0.376 0.871
0.376 0.871 0.376
0.871 0.376 0.376
0.750 0.750 0.750

HfBe2POs, optimized geometry, DFT PBE; energy of formation = 2100 meV per atom; symmetry = P4/mmm; total magnetic moment = 0.99 μB per formula unit
1.0
4.619 0.000 0.000
0.000 4.619 0.000
0.000 0.000 4.837
Hf Be P Os
1 2 1 1
Direct
0.000 0.000 0.000
0.000 0.500 0.000
0.500 0.000 0.000
0.500 0.500 0.500
0.000 0.000 0.500

RbHf2BeOs, optimized geometry, DFT PBE; energy of formation = 1024 meV per atom; symmetry = P4/mmm; total magnetic moment = 0.00 μB per formula unit
1.0
4.957 0.000 0.000
0.000 4.957 0.000
0.000 0.000 4.244
Rb Hf Be Os
1 2 1 1
Direct
0.000 0.000 0.000
0.000 0.500 0.500
0.500 0.000 0.500
0.500 0.500 0.500
0.500 0.500 0.000

HfBeOsS2, optimized geometry, DFT PBE; symmetry = P4/mmm; total magnetic moment = 0.00 μB per formula unit; ΔE_f (raw) = 0.29 eV per atom
1.0
4.282 0.000 0.000
0.000 4.282 0.000
0.000 0.000 4.133
Hf Be Os S
1 1 1 2
Direct
0.000 0.000 0.000
0.500 0.500 0.500
0.500 0.500 0.000
0.000 0.500 0.500
0.500 0.000 0.500

HfScBeOs2, optimized geometry, DFT PBE; energy of formation = 1367 meV per atom; symmetry = P4/mmm; total magnetic moment = 0.00 μB per formula unit
1.0
4.820 0.000 0.000
0.000 4.820 0.000
0.000 0.000 4.472
Hf Sc Be Os
1 1 1 2
Direct
0.000 0.000 0.000
0.500 0.500 0.500
0.000 0.000 0.500
0.000 0.500 0.000
0.500 0.000 0.000

Hf2TaBeOs, optimized geometry, DFT PBE; energy of formation = 537 meV per atom; symmetry = P4/mmm; total magnetic moment = 0.00 μB per formula unit
1.0
4.587 0.000 0.000
0.000 4.587 0.000
0.000 0.000 4.252
Hf Ta Be Os
2 1 1 1
Direct
0.000 0.500 0.000
0.500 0.000 0.000
0.000 0.000 0.500
0.000 0.000 0.000
0.500 0.500 0.500

TmHfBeOs, optimized geometry, DFT PBE; energy of formation = -218 meV per atom; symmetry = F-43m; total magnetic moment = 0.00 μB per formula unit
1.0
0.000 3.290 3.290
3.290 0.000 3.290
3.290 3.290 0.000
Tm Hf Be Os
1 1 1 1
Direct
0.000 0.000 0.000
0.500 0.500 0.500
0.750 0.750 0.750
0.250 0.250 0.250

HfZr2BeOs, optimized geometry, DFT PBE; energy of formation = 220 meV per atom; symmetry = P4/mmm; total magnetic moment = 0.00 μB per formula unit
1.0
4.766 0.000 0.000
0.000 4.766 0.000
0.000 0.000 4.144
Hf Zr Be Os
1 2 1 1
Direct
0.000 0.000 0.000
0.000 0.500 0.500
0.500 0.000 0.500
0.500 0.500 0.500
0.500 0.500 0.000

Hf2Be2P, optimized geometry, DFT PBE; energy of formation = -379 meV per atom; symmetry = P4/mbm; total magnetic moment = 0.00 μB per formula unit
1.0
6.096 0.000 0.000
0.000 6.096 0.000
0.000 0.000 3.755
Hf Be P
4 4 2
Direct
0.177 0.323 0.000
0.323 0.823 0.000
0.677 0.177 0.000
0.823 0.677 0.000
0.120 0.620 0.500
0.380 0.120 0.500
0.620 0.880 0.500
0.880 0.380 0.500
0.000 0.000 0.500
0.500 0.500 0.500

Hf4BeP2, optimized geometry, DFT PBE; energy of formation = -704 meV per atom; symmetry = P2_1/m; total magnetic moment = 0.00 μB per formula unit
1.0
5.782 0.000 0.000
0.000 5.651 0.000
-1.639 0.000 7.320
Hf Be P
8 2 4
Direct
0.143 0.250 0.082
0.193 0.750 0.323
0.311 0.003 0.726
0.311 0.497 0.726
0.689 0.503 0.274
0.689 0.997 0.274
0.807 0.250 0.677
0.857 0.750 0.918
0.420 0.250 0.432
0.580 0.750 0.568
0.067 0.250 0.424
0.354 0.750 0.030
0.646 0.250 0.970
0.933 0.750 0.576

HfBeP3, optimized geometry, DFT PBE; energy of formation = 868 meV per atom; energy relative to the lowest polymorph listed for this composition = 0.557 eV per atom; symmetry = Pm-3m; total magnetic moment = 0.00 μB per formula unit
1.0
4.939 0.000 0.000
0.000 4.939 0.000
0.000 0.000 4.939
Hf Be P
1 1 3
Direct
0.000 0.000 0.000
0.500 0.500 0.500
0.000 0.000 0.500
0.000 0.500 0.000
0.500 0.000 0.000

Hf3BeP2, optimized geometry, DFT PBE; energy of formation = -974 meV per atom; symmetry = Pnma; total magnetic moment = 0.00 μB per formula unit
1.0
10.267 0.000 0.000
0.000 3.583 0.000
0.000 0.000 10.150
Hf Be P
12 4 8
Direct
0.051 0.250 0.124
0.117 0.750 0.563
0.208 0.250 0.793
0.292 0.750 0.293
0.383 0.250 0.063
0.449 0.750 0.624
0.551 0.250 0.376
0.617 0.750 0.937
0.708 0.250 0.707
0.792 0.750 0.207
0.883 0.250 0.437
0.949 0.750 0.876
0.129 0.250 0.376
0.371 0.750 0.876
0.629 0.250 0.124
0.871 0.750 0.624
0.030 0.750 0.315
0.195 0.750 0.995
0.305 0.250 0.495
0.470 0.250 0.815
0.530 0.750 0.185
0.695 0.750 0.505
0.805 0.250 0.005
0.970 0.250 0.685

Hf2BeP2, optimized geometry, DFT PBE; energy of formation = -624 meV per atom; symmetry = P4/mbm; total magnetic moment = 0.00 μB per formula unit
1.0
6.737 0.000 0.000
0.000 6.737 0.000
0.000 0.000 3.490
Hf Be P
4 2 4
Direct
0.154 0.346 0.000
0.346 0.846 0.000
0.654 0.154 0.000
0.846 0.654 0.000
0.000 0.000 0.500
0.500 0.500 0.500
0.149 0.649 0.500
0.351 0.149 0.500
0.649 0.851 0.500
0.851 0.351 0.500

HfBeP3, optimized geometry, DFT PBE; energy of formation = 311 meV per atom; energy relative to the lowest polymorph listed for this composition = 0.000 eV per atom; symmetry = Pm-3m; total magnetic moment = 0.00 μB per formula unit
1.0
4.270 0.000 0.000
0.000 4.270 0.000
0.000 0.000 4.270
Hf Be P
1 1 3
Direct
0.000 0.000 0.000
0.500 0.500 0.500
0.000 0.500 0.500
0.500 0.000 0.500
0.500 0.500 0.000

HfBePRu2, optimized geometry, DFT PBE; energy of formation = 309 meV per atom; symmetry = P4/mmm; total magnetic moment = 0.39 μB per formula unit
1.0
4.061 0.000 0.000
0.000 4.061 0.000
0.000 0.000 4.612
Hf Be P Ru
1 1 1 2
Direct
0.000 0.000 0.000
0.000 0.000 0.500
0.500 0.500 0.000
0.000 0.500 0.500
0.500 0.000 0.500